Cs2WC: optimized geometry, PBEsol.

Properties
N(E_F)	0.375	states/eV/f.u.
symmetry	Fm-3m (225)
crystal system	cubic
electronic total energy	-13.40	eV/cell

a b c (Å): 6.0555 6.0555 6.0555
angles (deg): 60.00 60.00 60.00
Last column: nearest neighbours and their distance in Å.
Positions (direct):
Cs 0.2500 0.2500 0.2500  4 W 3.71, 4 C 3.71
Cs 0.7500 0.7500 0.7500  4 C 3.71, 4 W 3.71
W 0.0000 0.0000 0.0000  8 Cs 3.71
C 0.5000 0.5000 0.5000  8 Cs 3.71



Li3Sb: optimized geometry, PBEsol.

Properties
symmetry	Fm-3m (225)
crystal system	cubic
excess energy over the best structure of this formula in the dataset	0	meV per atom
formation energy from raw total energies	-0.653	eV per atom
electronic total energy	-13.07	eV/cell

a b c (Å): 4.5887 4.5887 4.5887
angles (deg): 60.00 60.00 60.00
Last column: nearest neighbours and their distance in Å.
Positions (direct):
Li 0.0000 0.0000 0.0000  8 Li 2.81
Li 0.2500 0.2500 0.2500  4 Sb 2.81, 4 Li 2.81
Li 0.7500 0.7500 0.7500  4 Li 2.81, 4 Sb 2.81
Sb 0.5000 0.5000 0.5000  8 Li 2.81



Which of these has the lowest electronic total energy?
Cs2WC



Which of these has the highest electronic total energy?
Li3Sb